1.
DFT (SCAN) results for K4ReMo at its PBEsol-relaxed geometry.

Structure (POSCAR):
```
K4ReMo
1.0
-0.462 6.595 0.785
-3.537 2.512 5.051
3.105 2.973 5.084
K Mo Re
4 1 1
direct
0.375 0.375 0.375
0.375 0.375 0.876
0.876 0.375 0.375
0.375 0.876 0.375
0.750 0.750 0.750
0.000 0.000 0.000
```

Computed properties:
- Raw total energy: -21.219 eV/atom
- Spin magnetization: 1.50 μB/atom
- N(E_F): 6.44 states/eV/cell

---

2.
DFT (SCAN) results for Sr2Ca2Be at its PBEsol-relaxed geometry.

Structure (POSCAR):
```
Sr2Ca2Be
1.0
-1.101 0.469 4.364
0.519 -4.454 0.609
9.629 3.382 -0.281
Sr Ca Be
2 2 1
direct
0.250 0.750 0.500
0.750 0.250 0.500
0.416 0.416 0.832
0.584 0.584 0.168
0.000 0.000 0.000
```

Computed properties:
- Raw total energy: -12.822 eV/atom
- Spin magnetization: 0.05 μB/atom
- N(E_F): 5.68 states/eV/cell

---

3.
DFT (SCAN) results for ZrNiF2 at its PBEsol-relaxed geometry.

Structure (POSCAR):
```
ZrNiF2
1.0
-0.075 0.815 -3.944
0.595 -2.950 -2.678
-3.061 -1.308 -2.269
Ni Zr F
1 1 2
direct
0.000 0.000 0.000
0.500 0.500 0.500
0.250 0.250 0.250
0.750 0.750 0.750
```

Computed properties:
- Formation energy (no corrections): -1.308 eV per atom
- Spin magnetization: 0.00 μB/atom
- N(E_F): 0.98 states/eV/cell

---

4.
DFT (SCAN) results for LiCaTl2 at its PBEsol-relaxed geometry.

Structure (POSCAR):
```
LiCaTl2
1.0
-2.205 0.453 2.712
-1.870 -2.796 -1.053
4.348 -4.524 4.291
Tl Ca Li
2 1 1
direct
0.000 0.000 0.714
0.000 0.000 0.286
0.500 0.500 0.000
0.500 0.500 0.500
```

Computed properties:
- Raw total energy: -39.647 eV/atom
- Spin magnetization: 0.00 μB/atom
- N(E_F): 1.67 states/eV/cell

---

5.
DFT (SCAN) results for CdPd at its PBEsol-relaxed geometry.

Structure (POSCAR):
```
CdPd
1.0
-0.121 1.995 -2.236
1.048 -2.068 -1.902
-3.428 -1.048 -0.749
Pd Cd
1 1
direct
0.500 0.500 0.500
0.000 0.000 0.000
```

Computed properties:
- Raw total energy: -32.038 eV/atom
- Spin magnetization: 0.00 μB/atom
- N(E_F): 0.34 states/eV/cell

---

6.
DFT (SCAN) results for SrAuBr2 at its PBEsol-relaxed geometry.

Structure (POSCAR):
```
SrAuBr2
1.0
4.183 0.000 0.000
0.000 4.121 0.000
-2.091 -2.061 6.504
Sr Au Br
1 1 2
direct
0.442 0.442 0.883
0.266 0.766 0.532
0.026 0.026 0.053
0.766 0.266 0.532
```

Computed properties:
- Formation energy (no corrections): -1.187 eV per atom
- Spin magnetization: 0.00 μB/atom
- Relative energy among the computed polymorphs: 0.000 eV per atom
- N(E_F): 0.87 states/eV/cell

---

7.
DFT (SCAN) results for SnS2O6F2 at its PBEsol-relaxed geometry.

Structure (POSCAR):
```
SnS2O6F2
1.0
5.277 0.000 -0.028
0.000 9.549 0.000
-0.554 0.000 13.114
Sn S O F
4 8 24 8
direct
0.162 0.811 0.178
0.838 0.189 0.822
0.662 0.689 0.678
0.338 0.311 0.322
0.225 0.188 0.062
0.230 0.977 0.694
0.730 0.523 0.194
0.270 0.477 0.806
0.775 0.812 0.938
0.275 0.688 0.438
0.725 0.312 0.562
0.770 0.023 0.306
0.880 0.759 0.035
0.114 0.060 0.097
0.238 0.798 0.362
0.262 0.298 0.138
0.038 0.399 0.780
0.120 0.241 0.965
0.787 0.900 0.239
0.386 0.560 0.403
0.287 0.600 0.739
0.213 0.100 0.761
0.620 0.259 0.465
0.886 0.940 0.903
0.462 0.899 0.720
0.999 0.102 0.323
0.762 0.202 0.638
0.001 0.898 0.677
0.499 0.398 0.823
0.380 0.741 0.535
0.713 0.400 0.261
0.501 0.602 0.177
0.538 0.101 0.280
0.962 0.601 0.220
0.738 0.702 0.862
0.614 0.440 0.597
0.992 0.646 0.464
0.219 0.545 0.913
0.508 0.146 0.036
0.719 0.955 0.413
0.008 0.354 0.536
0.492 0.854 0.964
0.281 0.045 0.587
0.781 0.455 0.087
```

Computed properties:
- Formation energy (no corrections): -1.630 eV per atom
- Spin magnetization: 0.00 μB/atom
- N(E_F): 0.00 states/eV/cell

---

8.
DFT (SCAN) results for Mo4H8N2O13 at its PBEsol-relaxed geometry.

Structure (POSCAR):
```
Mo4H8N2O13
1.0
-1.738 -3.162 -7.426
5.832 -4.701 3.793
-8.524 -1.257 5.650
Mo H N O
8 16 4 26
direct
0.226 0.540 0.051
0.774 0.460 0.949
0.966 0.127 0.735
0.034 0.873 0.265
0.954 0.513 0.716
0.046 0.487 0.284
0.777 0.843 0.933
0.223 0.157 0.067
0.719 0.154 0.305
0.281 0.846 0.695
0.418 0.076 0.748
0.582 0.924 0.252
0.490 0.923 0.673
0.510 0.077 0.327
0.488 0.959 0.842
0.512 0.041 0.158
0.686 0.552 0.491
0.314 0.448 0.509
0.704 0.769 0.513
0.296 0.231 0.487
0.806 0.673 0.411
0.194 0.327 0.589
0.429 0.407 0.651
0.571 0.593 0.349
0.581 0.050 0.262
0.419 0.950 0.738
0.692 0.648 0.442
0.308 0.352 0.558
0.943 0.019 0.884
0.057 0.981 0.116
0.227 0.307 0.946
0.773 0.693 0.054
0.449 0.659 0.183
0.551 0.341 0.817
0.073 0.669 0.658
0.927 0.331 0.342
0.907 0.352 0.866
0.093 0.648 0.134
0.900 0.648 0.863
0.100 0.352 0.137
0.079 0.019 0.663
0.921 0.981 0.337
0.318 0.030 0.986
0.682 0.970 0.014
0.033 0.320 0.668
0.967 0.680 0.332
0.732 0.991 0.623
0.268 0.009 0.377
0.731 0.401 0.581
0.269 0.599 0.419
0.228 0.623 0.913
0.772 0.377 0.087
0.399 0.293 0.235
0.601 0.707 0.765
```

Computed properties:
- Raw total energy: -11.385 eV/atom
- Spin magnetization: 0.00 μB/atom
- N(E_F): 0.00 states/eV/cell

---

9.
DFT (SCAN) results for CrMo2NCl at its PBEsol-relaxed geometry.

Structure (POSCAR):
```
CrMo2NCl
1.0
3.537 0.000 0.000
0.000 4.569 0.000
0.000 0.000 4.569
Cr Mo N Cl
1 2 1 1
direct
0.000 0.000 0.000
0.000 0.000 0.500
0.000 0.500 0.000
0.500 0.000 0.000
0.500 0.500 0.500
```

Computed properties:
- Formation energy (no corrections): 1.206 eV per atom
- Spin magnetization: 0.55 μB/atom
- N(E_F): 3.90 states/eV/cell

---

10.
DFT (SCAN) results for Tc2MoIr at its PBEsol-relaxed geometry.

Structure (POSCAR):
```
Tc2MoIr
1.0
-0.919 -2.544 -2.729
1.332 -2.849 2.207
-3.715 2.276 1.835
Mo Ir Tc
1 1 2
direct
0.250 0.750 0.500
0.000 0.000 0.000
0.500 0.500 0.000
0.750 0.250 0.500
```

Computed properties:
- Spin magnetization: 0.00 μB/atom
- Relative energy among the computed polymorphs: 0.028 eV per atom
- N(E_F): 3.28 states/eV/cell

---

11.
DFT (SCAN) results for Mg2AlAsC at its PBEsol-relaxed geometry.

Structure (POSCAR):
```
Mg2AlAsC
1.0
3.929 0.000 0.000
0.000 4.375 0.000
0.000 0.000 4.375
As Mg C Al
1 2 1 1
direct
0.500 0.500 0.500
0.000 0.000 0.500
0.000 0.500 0.000
0.000 0.000 0.000
0.500 0.000 0.000
```

Computed properties:
- Raw total energy: -9.833 eV/atom
- Spin magnetization: 0.00 μB/atom
- N(E_F): 0.18 states/eV/cell

---

12.
DFT (SCAN) results for ZrBeCd at its PBEsol-relaxed geometry.

Structure (POSCAR):
```
ZrBeCd
1.0
3.458 0.000 0.000
0.000 3.770 0.000
0.000 1.885 7.746
Be Zr Cd
2 2 2
direct
0.750 0.538 0.923
0.250 0.462 0.077
0.750 0.916 0.169
0.250 0.084 0.831
0.250 0.298 0.404
0.750 0.702 0.596
```

Computed properties:
- Spin magnetization: 0.00 μB/atom
- Relative energy among the computed polymorphs: 0.000 eV per atom
- N(E_F): 2.09 states/eV/cell